VASP calculation (GGA-PBE) on a relaxed structure of Hf3Zn2Au4.

Values from the calculation:
The calculation puts the formation enthalpy at 0 K at -0.45 eV per atom. For the density of states at the Fermi level, the calculation gives 4.6 states/eV per cell.

Lattice parameters (Å, degrees): 5.4968 5.4968 8.4750 120.39 120.39 49.48
Atoms (fractional coordinates):
Hf 0.0000 0.0000 0.0000
Hf 0.3354 0.3354 0.3315
Hf 0.6646 0.6646 0.6685
Zn 0.3875 0.3875 0.7168
Zn 0.6125 0.6125 0.2832
Au 0.0633 0.0633 0.3892
Au 0.2886 0.2886 0.9426
Au 0.7114 0.7114 0.0574
Au 0.9367 0.9367 0.6108